(1)
An optimized crystal structure of Sr7Tl2Pd2. Source: Alexandria via LeMat-Bulk, functional PBE-GGA.

a = 7.5832 Å, b = 7.7864 Å, c = 7.5832 Å
α = 90.00°, β = 107.84°, γ = 90.00°
Last column: nearest neighbours and their distance in Å.
Fractional coordinates of all 11 atoms:
Sr  0.9998  0.2559  0.5003  2 Pd 3.03
Sr  0.5003  0.7441  0.9998  2 Pd 3.03
Sr  0.0002  0.7441  0.4997  2 Pd 3.03
Sr  0.4997  0.2559  0.0002  2 Pd 3.03
Sr  0.0000  0.0000  0.0000  2 Pd 3.57
Sr  0.5002  0.7562  0.4998  2 Pd 3.19, 2 Tl 3.53
Sr  0.4998  0.2438  0.5002  2 Pd 3.19, 2 Tl 3.53
Tl  0.8260  0.5000  0.8260  1 Tl 3.11
Tl  0.1740  0.5000  0.1740  1 Tl 3.11
Pd  0.7091  0.0000  0.2909  6 Sr 3.03-3.19
Pd  0.2909  0.0000  0.7091  6 Sr 3.03-3.19

Energy of formation: -0.342 eV per atom
Space-group type: Cmmm (65)

---

(2)
An optimized crystal structure of Pm6PrDy3. Source: Alexandria via LeMat-Bulk, functional PBE-GGA.

a = 6.3484 Å, b = 11.1147 Å, c = 11.1147 Å
α = 120.45°, β = 90.00°, γ = 90.00°
Last column: nearest neighbours and their distance in Å.
Fractional coordinates of all 20 atoms:
Pm  0.0485  0.7089  0.6274  4 Dy 3.47-3.76, 5 Pm 3.51-3.83
Pm  0.5485  0.6274  0.7089  4 Dy 3.47-3.76, 5 Pm 3.51-3.83
Pm  0.3735  0.5269  0.9446  1 Pm 3.13, 1 Pr 3.29, 2 Dy 3.32-3.50
Pm  0.8735  0.9446  0.5269  1 Pm 3.13, 1 Pr 3.29, 2 Dy 3.32-3.50
Pm  0.3735  0.9634  0.0366  1 Pr 3.38, 2 Pm 3.47, 4 Dy 3.55-3.58
Pm  0.6458  0.2810  0.7190  2 Pm 3.13, 1 Pr 3.39, 1 Dy 3.44
Pm  0.1458  0.7190  0.2810  2 Pm 3.13, 1 Pr 3.39, 1 Dy 3.44
Pm  0.8735  0.0366  0.9634  1 Pr 3.38, 2 Pm 3.47, 4 Dy 3.55-3.58
Pm  0.3735  0.0554  0.4731  1 Pm 3.13, 1 Pr 3.29, 2 Dy 3.32-3.50
Pm  0.8735  0.4731  0.0554  1 Pm 3.13, 1 Pr 3.29, 2 Dy 3.32-3.50
Pm  0.0485  0.3726  0.2911  4 Dy 3.47-3.76, 5 Pm 3.51-3.83
Pm  0.5485  0.2911  0.3726  4 Dy 3.47-3.76, 5 Pm 3.51-3.83
Pr  0.1087  0.1937  0.8063  6 Pm 3.29-3.62, 3 Dy 3.32-3.68
Pr  0.6087  0.8063  0.1937  6 Pm 3.29-3.62, 3 Dy 3.32-3.68
Dy  0.4630  0.9416  0.7105  1 Pr 3.32, 6 Pm 3.32-3.58, 1 Dy 3.69
Dy  0.9630  0.7105  0.9416  1 Pr 3.32, 6 Pm 3.32-3.58, 1 Dy 3.69
Dy  0.0874  0.3842  0.6158  7 Pm 3.44-3.76, 1 Pr 3.68, 2 Dy 3.69
Dy  0.5874  0.6158  0.3842  7 Pm 3.44-3.76, 1 Pr 3.68, 2 Dy 3.69
Dy  0.9630  0.0584  0.2895  1 Pr 3.32, 6 Pm 3.32-3.58, 1 Dy 3.69
Dy  0.4630  0.2895  0.0584  1 Pr 3.32, 6 Pm 3.32-3.58, 1 Dy 3.69

Energy of formation: 0.143 eV per atom
Relative energy among the computed polymorphs: 18.9 meV/atom
Space-group type: Cmc2_1 (36)

---

(3)
An optimized crystal structure of CaAgW2. Source: Alexandria via LeMat-Bulk, functional PBE-GGA.

a = 3.1211 Å, b = 4.5850 Å, c = 5.2569 Å
α = 90.00°, β = 90.00°, γ = 90.00°
Last column: nearest neighbours and their distance in Å.
Fractional coordinates of all 4 atoms:
Ca  0.0000  0.5000  0.5000  4 Ag 2.77, 4 W 3.06
Ag  0.5000  0.0000  0.5000  4 Ca 2.77, 4 W 3.06
W  0.0000  0.0000  0.0000  4 W 2.77, 4 Ag 3.06
W  0.5000  0.5000  0.0000  4 W 2.77, 4 Ca 3.06

Energy of formation: 0.714 eV per atom
Relative energy among the computed polymorphs: 231.5 meV/atom
Space-group type: Pmmm (47)

---

(4)
An optimized crystal structure of Ce3Tl. Source: Alexandria via LeMat-Bulk, functional PBE-GGA.

a = 3.3895 Å, b = 5.8391 Å, c = 6.4618 Å
α = 116.86°, β = 105.21°, γ = 90.00°
Last column: nearest neighbours and their distance in Å.
Fractional coordinates of all 4 atoms:
Tl  0.0000  0.0422  0.0000  10 Ce 3.30-3.45, 2 Tl 3.39
Ce  0.2747  0.5730  0.5493  1 Ce 2.94
Ce  0.5000  0.5279  0.0000  2 Ce 2.94
Ce  0.7253  0.0236  0.4507  1 Ce 2.94

Energy of formation: -0.111 eV per atom
Space-group type: Imm2 (44)

---

(5)
An optimized crystal structure of Ta2TeOs. Source: Alexandria via LeMat-Bulk, functional PBE-GGA.

a = 4.6641 Å, b = 4.6641 Å, c = 4.6641 Å
α = 60.00°, β = 60.00°, γ = 60.00°
Last column: nearest neighbours and their distance in Å.
Fractional coordinates of all 4 atoms:
Os  0.5000  0.5000  0.5000  4 Te 2.86, 4 Ta 2.86
Ta  0.0000  0.0000  0.0000  4 Ta 2.86, 4 Te 2.86
Ta  0.2500  0.2500  0.2500  4 Os 2.86, 4 Ta 2.86
Te  0.7500  0.7500  0.7500  4 Os 2.86, 4 Ta 2.86

Space-group type: F-43m (216)
ΔE_f (raw): 0.470 eV/atom

---

(6)
An optimized crystal structure of HgSbRh2. Source: Alexandria via LeMat-Bulk, functional PBE-GGA.

a = 8.1419 Å, b = 8.1419 Å, c = 8.1419 Å
α = 23.35°, β = 23.35°, γ = 23.35°
Last column: nearest neighbours and their distance in Å.
Fractional coordinates of all 4 atoms:
Hg  0.5000  0.5000  0.5000  6 Rh 2.86
Sb  0.0000  0.0000  0.0000  6 Rh 2.63
Rh  0.7433  0.7433  0.7433  3 Sb 2.63, 3 Hg 2.86
Rh  0.2567  0.2567  0.2567  3 Sb 2.63, 3 Hg 2.86

Relative energy among the computed polymorphs: 42.0 meV/atom
Space-group type: R-3m (166)
ΔE_f (raw): -0.077 eV/atom

---

(7)
An optimized crystal structure of CuPOsS. Source: Alexandria via LeMat-Bulk, functional PBE-GGA.

a = 7.0731 Å, b = 3.0491 Å, c = 6.0717 Å
α = 90.00°, β = 105.57°, γ = 90.00°
Last column: nearest neighbours and their distance in Å.
Fractional coordinates of all 8 atoms:
Cu  0.1450  0.0000  0.6117  1 S 2.28, 3 P 2.43-2.44
Cu  0.1450  0.5000  0.1117  1 S 2.28, 3 P 2.43-2.44
P  0.3674  0.0000  0.3665  3 Cu 2.43-2.44, 3 Os 2.52-2.60
P  0.3674  0.5000  0.8665  3 Cu 2.43-2.44, 3 Os 2.52-2.60
Os  0.6165  0.0000  0.1190  3 S 2.31-2.33, 2 P 2.52
Os  0.6165  0.5000  0.6190  3 S 2.31-2.33, 2 P 2.52
S  0.8105  0.0000  0.4958  1 Cu 2.28, 3 Os 2.31-2.33
S  0.8105  0.5000  0.9958  1 Cu 2.28, 3 Os 2.31-2.33

Relative energy among the computed polymorphs: 227.2 meV/atom
Space-group type: Cm (8)
ΔE_f (raw): 0.156 eV/atom

---

(8)
An optimized crystal structure of La6Tl2FeH. Source: Alexandria via LeMat-Bulk, functional PBE-GGA.

a = 7.5157 Å, b = 7.5309 Å, c = 7.3089 Å
α = 119.12°, β = 118.77°, γ = 93.42°
Last column: nearest neighbours and their distance in Å.
Fractional coordinates of all 10 atoms:
La  0.7121  0.7228  0.9215  1 Fe 2.54, 1 H 2.69
La  0.7936  0.7952  0.5115  1 Fe 2.55, 1 H 2.68
La  0.2884  0.2788  0.0795  1 Fe 2.55, 1 H 2.67
La  0.7473  0.2667  0.0035  1 H 2.63, 1 Fe 2.84
La  0.2064  0.2057  0.4886  1 Fe 2.57, 1 H 2.67
La  0.2529  0.7345  0.9957  1 H 2.64, 1 Fe 2.84
Tl  0.7494  0.2498  0.4998  8 La 3.46-3.70
Tl  0.2510  0.7516  0.4999  8 La 3.47-3.70
Fe  0.9988  0.9993  0.9982  6 La 2.54-2.84
H  0.4990  0.4995  0.9996  6 La 2.63-2.69

DFT total energy: -4.856 eV per atom
Space-group type: P1 (1)

---

These records have V values of 426 676 75 109 72 74 126 293 Å³ per cell, in the order they appear.
These records have DOS(E_F) values of 6.3 28.8 3.7 10.1 3.5 2.3 3.3 10.0 states/eV/cell, in the order they appear.